1.
Below is a geometry-optimized P3RuN structure, with properties calculated at the PBE level. Values from VASP.

Output
Spin magnetization: 0.0000 μB per atom
Final energy: -6.89 eV/atom
Formation energy without anion corrections: -0.1281 eV/atom
SG: P1
Crystal system: triclinic

```
&SYSTEM
  ibrav = 0, nat = 5, ntyp = 3
/
ATOMIC_SPECIES
N 14.01 N.upf
P 30.97 P.upf
Ru 101.07 Ru.upf
CELL_PARAMETERS angstrom
4.042 0.002 0.000
0.851 4.434 0.000
0.518 2.067 4.068
ATOMIC_POSITIONS angstrom
N 3.205 2.023 2.095
P 1.249 5.913 3.496
P 1.780 1.088 1.819
P 2.894 3.597 2.928
Ru 0.381 1.615 0.092
```


2.
Below is a geometry-optimized P3Ru2N structure, with properties calculated at the PBE level. Values from VASP.

Output
Spin magnetization: 0.0000 μB per atom
Final energy: -7.34 eV/atom
Formation energy without anion corrections: -0.1576 eV/atom
SG: P1
Crystal system: triclinic

```
&SYSTEM
  ibrav = 0, nat = 6, ntyp = 3
/
ATOMIC_SPECIES
Ru 101.07 Ru.upf
N 14.01 N.upf
P 30.97 P.upf
CELL_PARAMETERS angstrom
-0.503 3.732 -0.964
-4.231 -0.974 -1.280
0.155 1.292 5.362
ATOMIC_POSITIONS angstrom
Ru -1.115 2.798 2.302
N -4.450 3.354 2.359
P -3.163 3.083 1.328
P -0.380 0.709 1.531
Ru -2.551 0.877 0.567
P -1.192 1.296 4.196
```